(1)
# Tb8Se6S, optimized geometry, DFT GGA-PBE
# formation energy without anion corrections = -1331 meV per atom
# mass density = 7.67 g/cm3
# space group = No. 147
data_Tb8Se6S
_chemical_formula_sum 'Tb8 Se6 S1'
_symmetry_space_group_name_H-M 'P 1'
_symmetry_Int_Tables_number 1
_cell_length_a 4.1430
_cell_length_b 10.3564
_cell_length_c 10.3564
_cell_angle_alpha 120.00
_cell_angle_beta 90.00
_cell_angle_gamma 90.00
loop_
_symmetry_equiv_pos_as_xyz
'x,y,z'
loop_
_atom_site_label
_atom_site_fract_x
_atom_site_fract_y
_atom_site_fract_z
Tb1 0.7364 0.9674 0.2812
Tb2 0.7364 0.7188 0.6862
Tb3 0.7364 0.3138 0.0326
Tb4 0.2636 0.0326 0.7188
Tb5 0.2636 0.2812 0.3138
Tb6 0.2636 0.6862 0.9674
Tb7 0.7440 0.3333 0.6667
Tb8 0.2560 0.6667 0.3333
Se1 0.7569 0.6481 0.1283
Se2 0.7569 0.8717 0.5198
Se3 0.7569 0.4802 0.3519
Se4 0.2431 0.3519 0.8717
Se5 0.2431 0.1283 0.4802
Se6 0.2431 0.5198 0.6481
S1 0.5000 0.0000 0.0000

---

(2)
# Pm2FeSi3Ir4, optimized geometry, DFT GGA-PBE
# formation energy without anion corrections = -902 meV per atom
# mass density = 11.53 g/cm3
# space group = No. 115
data_Pm2FeSi3Ir4
_chemical_formula_sum 'Pm2 Fe1 Si3 Ir4'
_symmetry_space_group_name_H-M 'P 1'
_symmetry_Int_Tables_number 1
_cell_length_a 4.1471
_cell_length_b 4.1471
_cell_length_c 10.0423
_cell_angle_alpha 90.00
_cell_angle_beta 90.00
_cell_angle_gamma 90.00
loop_
_symmetry_equiv_pos_as_xyz
'x,y,z'
loop_
_atom_site_label
_atom_site_fract_x
_atom_site_fract_y
_atom_site_fract_z
Pm1 0.5000 0.0000 0.2541
Pm2 0.0000 0.5000 0.7459
Fe1 0.5000 0.5000 0.5000
Si1 0.0000 0.0000 0.5000
Si2 0.5000 0.0000 0.8717
Si3 0.0000 0.5000 0.1283
Ir1 0.5000 0.5000 0.0000
Ir2 0.0000 0.0000 0.0000
Ir3 0.5000 0.0000 0.6322
Ir4 0.0000 0.5000 0.3678

---

(3)
# ZnSnAs2Br, optimized geometry, DFT GGA-PBE
# formation energy without anion corrections = 332 meV per atom
# mass density = 5.38 g/cm3
# energy above the most stable polymorph in this dataset = 0 meV per atom
# space group = No. 123
data_ZnSnAs2Br
_chemical_formula_sum 'Zn1 Sn1 As2 Br1'
_symmetry_space_group_name_H-M 'P 1'
_symmetry_Int_Tables_number 1
_cell_length_a 4.8239
_cell_length_b 4.8239
_cell_length_c 5.4908
_cell_angle_alpha 90.00
_cell_angle_beta 90.00
_cell_angle_gamma 90.00
loop_
_symmetry_equiv_pos_as_xyz
'x,y,z'
loop_
_atom_site_label
_atom_site_fract_x
_atom_site_fract_y
_atom_site_fract_z
Zn1 0.0000 0.0000 0.0000
As1 0.0000 0.5000 0.0000
As2 0.5000 0.0000 0.0000
Sn1 0.5000 0.5000 0.5000
Br1 0.0000 0.0000 0.5000

---

(4)
# ReGe, optimized geometry, DFT GGA-PBE
# mass density = 7.83 g/cm3
# formation energy from the elements = 1.469 eV/atom
# space group = No. 223
data_ReGe
_chemical_formula_sum 'Re6 Ge6'
_symmetry_space_group_name_H-M 'P 1'
_symmetry_Int_Tables_number 1
_cell_length_a 6.9074
_cell_length_b 6.9074
_cell_length_c 6.9074
_cell_angle_alpha 90.00
_cell_angle_beta 90.00
_cell_angle_gamma 90.00
loop_
_symmetry_equiv_pos_as_xyz
'x,y,z'
loop_
_atom_site_label
_atom_site_fract_x
_atom_site_fract_y
_atom_site_fract_z
Re1 0.2500 0.5000 0.0000
Re2 0.7500 0.5000 0.0000
Re3 0.5000 0.0000 0.2500
Re4 0.5000 0.0000 0.7500
Re5 0.0000 0.2500 0.5000
Re6 0.0000 0.7500 0.5000
Ge1 0.2500 0.0000 0.5000
Ge2 0.7500 0.0000 0.5000
Ge3 0.0000 0.5000 0.2500
Ge4 0.0000 0.5000 0.7500
Ge5 0.5000 0.2500 0.0000
Ge6 0.5000 0.7500 0.0000

---

(5)
# Ac2Pr3Co2, optimized geometry, DFT GGA-PBE
# mass density = 7.78 g/cm3
# formation energy from the elements = -0.023 eV/atom
# space group = No. 12
data_Ac2Pr3Co2
_chemical_formula_sum 'Ac2 Pr3 Co2'
_symmetry_space_group_name_H-M 'P 1'
_symmetry_Int_Tables_number 1
_cell_length_a 3.9037
_cell_length_b 6.6437
_cell_length_c 9.0940
_cell_angle_alpha 71.88
_cell_angle_beta 77.61
_cell_angle_gamma 72.92
loop_
_symmetry_equiv_pos_as_xyz
'x,y,z'
loop_
_atom_site_label
_atom_site_fract_x
_atom_site_fract_y
_atom_site_fract_z
Ac1 0.1726 0.4520 0.2028
Ac2 0.8274 0.5480 0.7972
Pr1 0.5000 0.0000 0.0000
Pr2 0.3810 0.8221 0.4159
Pr3 0.6190 0.1779 0.5841
Co1 0.1753 0.8952 0.7542
Co2 0.8247 0.1048 0.2458

---

(6)
# Ba2TcBr, optimized geometry, DFT GGA-PBE
# formation energy without anion corrections = 138 meV per atom
# mass density = 4.55 g/cm3
# energy above the most stable polymorph in this dataset = 260 meV per atom
# space group = No. 122
data_Ba2TcBr
_chemical_formula_sum 'Ba4 Tc2 Br2'
_symmetry_space_group_name_H-M 'P 1'
_symmetry_Int_Tables_number 1
_cell_length_a 8.3371
_cell_length_b 8.3371
_cell_length_c 7.5728
_cell_angle_alpha 56.60
_cell_angle_beta 56.60
_cell_angle_gamma 90.00
loop_
_symmetry_equiv_pos_as_xyz
'x,y,z'
loop_
_atom_site_label
_atom_site_fract_x
_atom_site_fract_y
_atom_site_fract_z
Ba1 0.6450 0.1250 0.2500
Ba2 0.1050 0.6250 0.2500
Ba3 0.3750 0.3550 0.7500
Ba4 0.8750 0.8950 0.7500
Br1 0.5000 0.5000 0.0000
Br2 0.2500 0.7500 0.5000
Tc1 0.0000 0.0000 0.0000
Tc2 0.7500 0.2500 0.5000

---

(7)
# PaCu2Pd, optimized geometry, DFT GGA-PBE
# mass density = 11.27 g/cm3
# energy above the most stable polymorph in this dataset = 175 meV per atom
# formation energy from the elements = -0.088 eV/atom
# space group = No. 225
data_PaCu2Pd
_chemical_formula_sum 'Pa1 Cu2 Pd1'
_symmetry_space_group_name_H-M 'P 1'
_symmetry_Int_Tables_number 1
_cell_length_a 4.5915
_cell_length_b 4.5915
_cell_length_c 4.5915
_cell_angle_alpha 60.00
_cell_angle_beta 60.00
_cell_angle_gamma 60.00
loop_
_symmetry_equiv_pos_as_xyz
'x,y,z'
loop_
_atom_site_label
_atom_site_fract_x
_atom_site_fract_y
_atom_site_fract_z
Pa1 0.0000 0.0000 0.0000
Cu1 0.2500 0.2500 0.2500
Cu2 0.7500 0.7500 0.7500
Pd1 0.5000 0.5000 0.5000

---

(8)
# PuReOs, optimized geometry, DFT GGA-PBE
# mass density = 17.72 g/cm3
# energy above the most stable polymorph in this dataset = 150 meV per atom
# formation energy from the elements = 0.124 eV/atom
# space group = No. 12
data_PuReOs
_chemical_formula_sum 'Pu2 Re2 Os2'
_symmetry_space_group_name_H-M 'P 1'
_symmetry_Int_Tables_number 1
_cell_length_a 4.3493
_cell_length_b 5.7884
_cell_length_c 5.4365
_cell_angle_alpha 81.34
_cell_angle_beta 66.42
_cell_angle_gamma 67.93
loop_
_symmetry_equiv_pos_as_xyz
'x,y,z'
loop_
_atom_site_label
_atom_site_fract_x
_atom_site_fract_y
_atom_site_fract_z
Os1 0.3330 0.2246 0.1094
Os2 0.6670 0.7754 0.8906
Re1 0.6537 0.4410 0.2516
Re2 0.3463 0.5590 0.7484
Pu1 0.9284 0.8213 0.3218
Pu2 0.0716 0.1787 0.6782

---

(9)
# Tb6Pr2DyTm3, optimized geometry, DFT GGA-PBE
# mass density = 8.22 g/cm3
# formation energy from the elements = 0.020 eV/atom
# space group = No. 12
data_Tb6Pr2DyTm3
_chemical_formula_sum 'Tb6 Pr2 Dy1 Tm3'
_symmetry_space_group_name_H-M 'P 1'
_symmetry_Int_Tables_number 1
_cell_length_a 6.1770
_cell_length_b 6.1770
_cell_length_c 11.8167
_cell_angle_alpha 94.98
_cell_angle_beta 94.98
_cell_angle_gamma 119.97
loop_
_symmetry_equiv_pos_as_xyz
'x,y,z'
loop_
_atom_site_label
_atom_site_fract_x
_atom_site_fract_y
_atom_site_fract_z
Tb1 0.9147 0.5823 0.7452
Tb2 0.7530 0.7530 0.2550
Tb3 0.0853 0.4177 0.2548
Tb4 0.5823 0.9147 0.7452
Tb5 0.2470 0.2470 0.7450
Tb6 0.4177 0.0853 0.2548
Pr1 0.3334 0.6666 0.0000
Pr2 0.6666 0.3334 0.0000
Dy1 0.0000 0.0000 0.0000
Tm1 0.1663 0.8337 0.5000
Tm2 0.8337 0.1663 0.5000
Tm3 0.5000 0.5000 0.5000

---

(10)
# Li3Pu2PdS6, optimized geometry, DFT GGA-PBE
# formation energy without anion corrections = -1227 meV per atom
# mass density = 5.78 g/cm3
# space group = No. 12
data_Li3Pu2PdS6
_chemical_formula_sum 'Li3 Pu2 Pd1 S6'
_symmetry_space_group_name_H-M 'P 1'
_symmetry_Int_Tables_number 1
_cell_length_a 6.5088
_cell_length_b 6.5088
_cell_length_c 6.6507
_cell_angle_alpha 100.56
_cell_angle_beta 100.56
_cell_angle_gamma 118.24
loop_
_symmetry_equiv_pos_as_xyz
'x,y,z'
loop_
_atom_site_label
_atom_site_fract_x
_atom_site_fract_y
_atom_site_fract_z
Li1 0.1525 0.8475 0.5000
Li2 0.8475 0.1525 0.5000
Li3 0.5000 0.5000 0.5000
Pu1 0.3334 0.6666 0.0000
Pu2 0.6666 0.3334 0.0000
Pd1 0.0000 0.0000 0.0000
S1 0.9186 0.6050 0.7616
S2 0.7345 0.7345 0.2684
S3 0.0814 0.3950 0.2384
S4 0.6050 0.9186 0.7616
S5 0.2655 0.2655 0.7316
S6 0.3950 0.0814 0.2384

---

(11)
# Dy4Zn3Pd, optimized geometry, DFT GGA-PBE
# mass density = 8.85 g/cm3
# energy above the most stable polymorph in this dataset = 0 meV per atom
# formation energy from the elements = -0.491 eV/atom
# space group = No. 123
data_Dy4Zn3Pd
_chemical_formula_sum 'Dy4 Zn3 Pd1'
_symmetry_space_group_name_H-M 'P 1'
_symmetry_Int_Tables_number 1
_cell_length_a 3.5712
_cell_length_b 3.5712
_cell_length_c 14.0183
_cell_angle_alpha 90.00
_cell_angle_beta 90.00
_cell_angle_gamma 90.00
loop_
_symmetry_equiv_pos_as_xyz
'x,y,z'
loop_
_atom_site_label
_atom_site_fract_x
_atom_site_fract_y
_atom_site_fract_z
Zn1 0.5000 0.5000 0.2497
Zn2 0.5000 0.5000 0.5000
Zn3 0.5000 0.5000 0.7503
Pd1 0.5000 0.5000 0.0000
Dy1 0.0000 0.0000 0.8791
Dy2 0.0000 0.0000 0.1209
Dy3 0.0000 0.0000 0.3742
Dy4 0.0000 0.0000 0.6258